# Li2Mn3F8

A relaxed Li2Mn3F8 crystal (PBE+U, the Alexandria database).

* energy: -153.076 eV/cell
* V: 354 Å³/cell
* distance to the lowest polymorph of the same formula: 34.2 meV/atom

abc: 5.997 12.392 5.245
angles: 90.00 114.90 90.00
Positions (direct):
Li 0.216 0.119 0.154
Li 0.216 0.381 0.654
Li 0.784 0.619 0.346
Li 0.784 0.881 0.846
Mn 0.000 0.000 0.500
Mn 0.000 0.500 0.000
Mn 0.396 0.648 0.664
Mn 0.396 0.852 0.164
Mn 0.604 0.148 0.836
Mn 0.604 0.352 0.336
F 0.081 0.645 0.283
F 0.081 0.855 0.783
F 0.233 0.525 0.800
F 0.233 0.975 0.300
F 0.285 0.082 0.840
F 0.285 0.418 0.340
F 0.478 0.202 0.417
F 0.478 0.298 0.917
F 0.522 0.702 0.083
F 0.522 0.798 0.583
F 0.715 0.582 0.660
F 0.715 0.918 0.160
F 0.767 0.025 0.700
F 0.767 0.475 0.200
F 0.919 0.145 0.217
F 0.919 0.355 0.717